# ZnSe3, relaxed, DFT PBE
# - Density of states at the Fermi level: 2.33 states/eV per cell
# - Formation energy without anion corrections: 0.0 eV/f.u.
data_ZnSe3
_chemical_formula_sum 'Zn2 Se6'
_symmetry_space_group_name_H-M 'I m m m'
_symmetry_Int_Tables_number 71
_symmetry_space_group_name_Hall '-I 2 2'
_cell_length_a 3.581
_cell_length_b 3.595
_cell_length_c 18.227
_cell_angle_alpha 90.00
_cell_angle_beta 90.00
_cell_angle_gamma 90.00
loop_
_atom_site_label
_atom_site_type_symbol
_atom_site_fract_x
_atom_site_fract_y
_atom_site_fract_z
_atom_site_occupancy
Zn1 Zn 0.000 0.000 0.000 1
Se1 Se 0.000 0.000 0.500 1
Se2 Se 0.000 0.500 0.271 1

---

# Pm2Zn5Ag5, relaxed, DFT PBE
# - Density of states at the Fermi level: 5.30 states/eV per cell
# - ΔE_f: -0.22 eV/atom
data_Pm2Zn5Ag5
_chemical_formula_sum 'Pm2 Zn5 Ag5'
_symmetry_space_group_name_H-M 'P m m m'
_symmetry_Int_Tables_number 47
_cell_length_a 4.270
_cell_length_b 5.694
_cell_length_c 9.649
_cell_angle_alpha 90.00
_cell_angle_beta 90.00
_cell_angle_gamma 90.00
loop_
_symmetry_equiv_pos_as_xyz
'x,y,z'
'-x,-y,-z'
'-x,-y,z'
'x,y,-z'
'x,-y,-z'
'-x,y,z'
'-x,y,-z'
'x,-y,z'
loop_
_atom_site_label
_atom_site_type_symbol
_atom_site_fract_x
_atom_site_fract_y
_atom_site_fract_z
_atom_site_occupancy
Pm1 Pm 0.000 0.000 0.000 1
Pm2 Pm 0.000 0.500 0.500 1
Zn1 Zn 0.000 0.000 0.334 1
Zn2 Zn 0.000 0.500 0.159 1
Zn3 Zn 0.500 0.500 0.000 1
Ag1 Ag 0.500 0.000 0.500 1
Ag2 Ag 0.500 0.249 0.243 1

---

# Ba3Zn4Rh4, relaxed, DFT PBE
# - Density of states at the Fermi level: 6.74 states/eV per cell
# - ΔE_f: -0.36 eV/atom
data_Ba3Zn4Rh4
_chemical_formula_sum 'Ba6 Zn8 Rh8'
_symmetry_space_group_name_H-M 'I -4 3 m'
_symmetry_Int_Tables_number 217
_symmetry_space_group_name_Hall 'I -4 2 3'
_cell_length_a 7.976
_cell_length_b 7.976
_cell_length_c 7.976
_cell_angle_alpha 90.00
_cell_angle_beta 90.00
_cell_angle_gamma 90.00
loop_
_atom_site_label
_atom_site_type_symbol
_atom_site_fract_x
_atom_site_fract_y
_atom_site_fract_z
_atom_site_occupancy
Ba1 Ba 0.000 0.000 0.500 1
Zn1 Zn 0.193 0.193 0.193 1
Rh1 Rh 0.123 0.123 0.877 1

---

# Np2Te3Rh, relaxed, DFT PBE
# - Density of states at the Fermi level: 78.23 states/eV per cell
# - Formation energy without anion corrections: -3.4 eV/f.u.
data_Np2Te3Rh
_chemical_formula_sum 'Np8 Te12 Rh4'
_symmetry_space_group_name_H-M 'P n m a'
_symmetry_Int_Tables_number 62
_cell_length_a 12.569
_cell_length_b 4.239
_cell_length_c 11.667
_cell_angle_alpha 90.00
_cell_angle_beta 90.00
_cell_angle_gamma 90.00
loop_
_symmetry_equiv_pos_as_xyz
'x,y,z'
'-x,-y,-z'
'-x+1/2,-y,z+1/2'
'x+1/2,y,-z+1/2'
'x+1/2,-y+1/2,-z+1/2'
'-x+1/2,y+1/2,z+1/2'
'-x,y+1/2,-z'
'x,-y+1/2,z'
loop_
_atom_site_label
_atom_site_type_symbol
_atom_site_fract_x
_atom_site_fract_y
_atom_site_fract_z
_atom_site_occupancy
Np1 Np 0.049 0.250 0.184 1
Np2 Np 0.207 0.250 0.467 1
Te1 Te 0.037 0.750 0.384 1
Te2 Te 0.112 0.250 0.923 1
Te3 Te 0.188 0.750 0.673 1
Rh1 Rh 0.206 0.750 0.250 1

---

# Li2AlSe, relaxed, DFT PBE
# - Density of states at the Fermi level: 2.48 states/eV per cell
# - Formation energy without anion corrections: -1.6 eV/f.u.
data_Li2AlSe
_chemical_formula_sum 'Li4 Al2 Se2'
_symmetry_space_group_name_H-M 'I m m m'
_symmetry_Int_Tables_number 71
_symmetry_space_group_name_Hall '-I 2 2'
_cell_length_a 3.941
_cell_length_b 4.236
_cell_length_c 8.421
_cell_angle_alpha 90.00
_cell_angle_beta 90.00
_cell_angle_gamma 90.00
loop_
_atom_site_label
_atom_site_type_symbol
_atom_site_fract_x
_atom_site_fract_y
_atom_site_fract_z
_atom_site_occupancy
Li1 Li 0.000 0.000 0.242 1
Al1 Al 0.000 0.500 0.000 1
Se1 Se 0.000 0.500 0.500 1

---

# ThCl3, relaxed, DFT PBE
# - Density of states at the Fermi level: 0.59 states/eV per cell
# - Formation energy without anion corrections: -7.8 eV/f.u.
data_ThCl3
_chemical_formula_sum 'Th2 Cl6'
_symmetry_space_group_name_H-M 'P 63/m c m'
_symmetry_Int_Tables_number 193
_symmetry_space_group_name_Hall '-P 6c 2'
_cell_length_a 7.2814
_cell_length_b 7.2814
_cell_length_c 6.8701
_cell_angle_alpha 90.00
_cell_angle_beta 90.00
_cell_angle_gamma 120.00
loop_
_atom_site_label
_atom_site_type_symbol
_atom_site_fract_x
_atom_site_fract_y
_atom_site_fract_z
_atom_site_occupancy
Th1 Th 0.0000 0.0000 0.0000 1
Cl1 Cl 0.0000 0.3019 0.2500 1

---

# LaTb2TmTl4, relaxed, DFT PBE
# - Density of states at the Fermi level: 19.98 states/eV per cell
# - ΔE_f: -0.35 eV/atom
data_LaTb2TmTl4
_chemical_formula_sum 'La3 Tb6 Tm3 Tl12'
_symmetry_space_group_name_H-M 'R -3 m'
_symmetry_Int_Tables_number 166
_symmetry_space_group_name_Hall '-R 3 2"'
_cell_length_a 5.4267
_cell_length_b 5.4267
_cell_length_c 26.8013
_cell_angle_alpha 90.00
_cell_angle_beta 90.00
_cell_angle_gamma 120.00
loop_
_atom_site_label
_atom_site_type_symbol
_atom_site_fract_x
_atom_site_fract_y
_atom_site_fract_z
_atom_site_occupancy
La1 La 0.0000 0.0000 0.0000 1
Tb1 Tb 0.0000 0.0000 0.2487 1
Tm1 Tm 0.0000 0.0000 0.5000 1
Tl1 Tl 0.0000 0.0000 0.1275 1
Tl2 Tl 0.0000 0.0000 0.3780 1

---

# La4Pm3Sc, relaxed, DFT PBE
# - Density of states at the Fermi level: 25.08 states/eV per cell
# - ΔE_f: 0.21 eV/atom
data_La4Pm3Sc
_chemical_formula_sum 'La8 Pm6 Sc2'
_symmetry_space_group_name_H-M 'C 1 2/m 1'
_symmetry_Int_Tables_number 12
_cell_length_a 25.784
_cell_length_b 3.500
_cell_length_c 6.140
_cell_angle_alpha 90.00
_cell_angle_beta 95.13
_cell_angle_gamma 90.00
loop_
_symmetry_equiv_pos_as_xyz
'x,y,z'
'-x,-y,-z'
'-x,y,-z'
'x,-y,z'
'x+1/2,y+1/2,z'
'-x+1/2,-y+1/2,-z'
'-x+1/2,y+1/2,-z'
'x+1/2,-y+1/2,z'
loop_
_atom_site_label
_atom_site_type_symbol
_atom_site_fract_x
_atom_site_fract_y
_atom_site_fract_z
_atom_site_occupancy
La1 La 0.101 0.000 0.208 1
La2 La 0.218 0.500 0.239 1
Pm1 Pm 0.000 0.000 0.500 1
Pm2 Pm 0.144 0.000 0.721 1
Sc1 Sc 0.000 0.500 0.000 1

---

# RbVSi2I, relaxed, DFT PBE
# - Density of states at the Fermi level: 2.72 states/eV per cell
# - Formation energy without anion corrections: 1.9 eV/f.u.
data_RbVSi2I
_chemical_formula_sum 'Rb1 V1 Si2 I1'
_symmetry_space_group_name_H-M 'P 4/m m m'
_symmetry_Int_Tables_number 123
_symmetry_space_group_name_Hall '-P 4 2'
_cell_length_a 4.748
_cell_length_b 4.748
_cell_length_c 9.923
_cell_angle_alpha 90.00
_cell_angle_beta 90.00
_cell_angle_gamma 90.00
loop_
_atom_site_label
_atom_site_type_symbol
_atom_site_fract_x
_atom_site_fract_y
_atom_site_fract_z
_atom_site_occupancy
Rb1 Rb 0.000 0.000 0.000 1
V1 V 0.000 0.000 0.500 1
Si1 Si 0.000 0.500 0.500 1
I1 I 0.500 0.500 0.000 1

---

# Ce6Co2Si, relaxed, DFT PBE
# - Density of states at the Fermi level: 36.98 states/eV per cell
# - Formation energy without anion corrections: -2.2 eV/f.u.
data_Ce6Co2Si
_chemical_formula_sum 'Ce12 Co4 Si2'
_symmetry_space_group_name_H-M 'C 1 2/m 1'
_symmetry_Int_Tables_number 12
_cell_length_a 10.196
_cell_length_b 4.576
_cell_length_c 8.423
_cell_angle_alpha 90.00
_cell_angle_beta 92.03
_cell_angle_gamma 90.00
loop_
_symmetry_equiv_pos_as_xyz
'x,y,z'
'-x,-y,-z'
'-x,y,-z'
'x,-y,z'
'x+1/2,y+1/2,z'
'-x+1/2,-y+1/2,-z'
'-x+1/2,y+1/2,-z'
'x+1/2,-y+1/2,z'
loop_
_atom_site_label
_atom_site_type_symbol
_atom_site_fract_x
_atom_site_fract_y
_atom_site_fract_z
_atom_site_occupancy
Ce1 Ce 0.078 0.000 0.357 1
Ce2 Ce 0.092 0.500 0.689 1
Ce3 Ce 0.205 0.500 0.097 1
Co1 Co 0.243 0.500 0.385 1
Si1 Si 0.000 0.000 0.000 1

---

# TcGeH2, relaxed, DFT PBE
# - Density of states at the Fermi level: 3.73 states/eV per cell
data_TcGeH2
_chemical_formula_sum 'Tc2 Ge2 H4'
_symmetry_space_group_name_H-M 'P 1 21/m 1'
_symmetry_Int_Tables_number 11
_cell_length_a 4.961
_cell_length_b 2.789
_cell_length_c 6.589
_cell_angle_alpha 90.00
_cell_angle_beta 97.24
_cell_angle_gamma 90.00
loop_
_symmetry_equiv_pos_as_xyz
'x,y,z'
'-x,-y,-z'
'-x,y+1/2,-z'
'x,-y+1/2,z'
loop_
_atom_site_label
_atom_site_type_symbol
_atom_site_fract_x
_atom_site_fract_y
_atom_site_fract_z
_atom_site_occupancy
Tc1 Tc 0.031 0.250 0.324 1
Ge1 Ge 0.243 0.250 0.978 1
H1 H 0.199 0.250 0.594 1
H2 H 0.269 0.750 0.319 1

---

# Ge6RuRh3, relaxed, DFT PBE
# - Density of states at the Fermi level: 6.63 states/eV per cell
# - ΔE_f: -0.27 eV/atom
data_Ge6RuRh3
_chemical_formula_sum 'Ge12 Ru2 Rh6'
_symmetry_space_group_name_H-M 'P 1 21/c 1'
_symmetry_Int_Tables_number 14
_cell_length_a 6.611
_cell_length_b 6.249
_cell_length_c 10.411
_cell_angle_alpha 90.00
_cell_angle_beta 128.46
_cell_angle_gamma 90.00
loop_
_symmetry_equiv_pos_as_xyz
'x,y,z'
'-x,-y,-z'
'-x,y+1/2,-z+1/2'
'x,-y+1/2,z+1/2'
loop_
_atom_site_label
_atom_site_type_symbol
_atom_site_fract_x
_atom_site_fract_y
_atom_site_fract_z
_atom_site_occupancy
Ge1 Ge 0.061 0.010 0.253 1
Ge2 Ge 0.216 0.145 0.563 1
Ge3 Ge 0.415 0.645 0.565 1
Ru1 Ru 0.500 0.000 0.500 1
Rh1 Rh 0.000 0.000 0.000 1
Rh2 Rh 0.279 0.658 0.250 1

---

# KErInSe3, relaxed, DFT PBE
# - Density of states at the Fermi level: 4.10 states/eV per cell
# - Formation energy without anion corrections: -7.6 eV/f.u.
data_KErInSe3
_chemical_formula_sum 'K2 Er2 In2 Se6'
_symmetry_space_group_name_H-M 'P 1 21/m 1'
_symmetry_Int_Tables_number 11
_cell_length_a 8.623
_cell_length_b 4.074
_cell_length_c 11.260
_cell_angle_alpha 90.00
_cell_angle_beta 107.34
_cell_angle_gamma 90.00
loop_
_symmetry_equiv_pos_as_xyz
'x,y,z'
'-x,-y,-z'
'-x,y+1/2,-z'
'x,-y+1/2,z'
loop_
_atom_site_label
_atom_site_type_symbol
_atom_site_fract_x
_atom_site_fract_y
_atom_site_fract_z
_atom_site_occupancy
K1 K 0.227 0.250 0.262 1
Er1 Er 0.356 0.750 0.855 1
In1 In 0.135 0.250 0.579 1
Se1 Se 0.107 0.250 0.808 1
Se2 Se 0.347 0.750 0.589 1
Se3 Se 0.408 0.750 0.113 1

---

# ZnGa2SF, relaxed, DFT PBE
# - Density of states at the Fermi level: 1.27 states/eV per cell
# - Formation energy without anion corrections: -0.7 eV/f.u.
data_ZnGa2SF
_chemical_formula_sum 'Zn1 Ga2 S1 F1'
_symmetry_space_group_name_H-M 'P 4/m m m'
_symmetry_Int_Tables_number 123
_symmetry_space_group_name_Hall '-P 4 2'
_cell_length_a 4.302
_cell_length_b 4.302
_cell_length_c 5.887
_cell_angle_alpha 90.00
_cell_angle_beta 90.00
_cell_angle_gamma 90.00
loop_
_atom_site_label
_atom_site_type_symbol
_atom_site_fract_x
_atom_site_fract_y
_atom_site_fract_z
_atom_site_occupancy
Zn1 Zn 0.000 0.000 0.000 1
Ga1 Ga 0.000 0.500 0.500 1
S1 S 0.500 0.500 0.000 1
F1 F 0.500 0.500 0.500 1

---

# CdAs3, relaxed, DFT PBE
# - Density of states at the Fermi level: 6.77 states/eV per cell
# - ΔE_f: 0.21 eV/atom
data_CdAs3
_chemical_formula_sum 'Cd4 As12'
_symmetry_space_group_name_H-M 'C m c m'
_symmetry_Int_Tables_number 63
_symmetry_space_group_name_Hall '-C 2c 2'
_cell_length_a 8.230
_cell_length_b 11.928
_cell_length_c 3.739
_cell_angle_alpha 90.00
_cell_angle_beta 90.00
_cell_angle_gamma 90.00
loop_
_atom_site_label
_atom_site_type_symbol
_atom_site_fract_x
_atom_site_fract_y
_atom_site_fract_z
_atom_site_occupancy
Cd1 Cd 0.000 0.098 0.250 1
As1 As 0.000 0.283 0.750 1
As2 As 0.154 0.414 0.250 1

---

# MnIn2Pd9, relaxed, DFT PBE
# - Density of states at the Fermi level: 12.55 states/eV per cell
# - ΔE_f: -0.36 eV/atom
data_MnIn2Pd9
_chemical_formula_sum 'Mn1 In2 Pd9'
_symmetry_space_group_name_H-M 'P 4/m m m'
_symmetry_Int_Tables_number 123
_symmetry_space_group_name_Hall '-P 4 2'
_cell_length_a 4.004
_cell_length_b 4.004
_cell_length_c 11.959
_cell_angle_alpha 90.00
_cell_angle_beta 90.00
_cell_angle_gamma 90.00
loop_
_atom_site_label
_atom_site_type_symbol
_atom_site_fract_x
_atom_site_fract_y
_atom_site_fract_z
_atom_site_occupancy
Mn1 Mn 0.000 0.000 0.000 1
In1 In 0.000 0.000 0.331 1
Pd1 Pd 0.000 0.500 0.159 1
Pd2 Pd 0.000 0.500 0.500 1
Pd3 Pd 0.500 0.500 0.000 1
Pd4 Pd 0.500 0.500 0.329 1

---

# Al2PbCl8, relaxed, DFT PBE
# - Density of states at the Fermi level: 0.00 states/eV per cell
# - Formation energy without anion corrections: -15.8 eV/f.u.
data_Al2PbCl8
_chemical_formula_sum 'Al4 Pb2 Cl16'
_symmetry_space_group_name_H-M 'C 1 2/m 1'
_symmetry_Int_Tables_number 12
_cell_length_a 13.294
_cell_length_b 9.038
_cell_length_c 6.510
_cell_angle_alpha 90.00
_cell_angle_beta 100.40
_cell_angle_gamma 90.00
loop_
_symmetry_equiv_pos_as_xyz
'x,y,z'
'-x,-y,-z'
'-x,y,-z'
'x,-y,z'
'x+1/2,y+1/2,z'
'-x+1/2,-y+1/2,-z'
'-x+1/2,y+1/2,-z'
'x+1/2,-y+1/2,z'
loop_
_atom_site_label
_atom_site_type_symbol
_atom_site_fract_x
_atom_site_fract_y
_atom_site_fract_z
_atom_site_occupancy
Al1 Al 0.198 0.000 0.162 1
Pb1 Pb 0.000 0.000 0.500 1
Cl1 Cl 0.114 0.189 0.255 1
Cl2 Cl 0.145 0.500 0.705 1
Cl3 Cl 0.186 0.000 0.822 1

---

# KSi2Mo, relaxed, DFT PBE
# - Density of states at the Fermi level: 10.19 states/eV per cell
# - Formation energy without anion corrections: 2.6 eV/f.u.
data_KSi2Mo
_chemical_formula_sum 'K3 Si6 Mo3'
_symmetry_space_group_name_H-M 'R 3 m'
_symmetry_Int_Tables_number 160
_symmetry_space_group_name_Hall 'R 3 -2"'
_cell_length_a 2.9697
_cell_length_b 2.9697
_cell_length_c 29.2305
_cell_angle_alpha 90.00
_cell_angle_beta 90.00
_cell_angle_gamma 120.00
loop_
_atom_site_label
_atom_site_type_symbol
_atom_site_fract_x
_atom_site_fract_y
_atom_site_fract_z
_atom_site_occupancy
K1 K 0.0000 0.0000 0.0000 1
Si1 Si 0.0000 0.0000 0.4940 1
Si2 Si 0.0000 0.0000 0.7622 1
Mo1 Mo 0.0000 0.0000 0.2276 1

---

# ScP2Br, relaxed, DFT PBE
# - Density of states at the Fermi level: 1.57 states/eV per cell
# - Formation energy without anion corrections: 0.4 eV/f.u.
data_ScP2Br
_chemical_formula_sum 'Sc1 P2 Br1'
_symmetry_space_group_name_H-M 'P 4/m m m'
_symmetry_Int_Tables_number 123
_symmetry_space_group_name_Hall '-P 4 2'
_cell_length_a 4.911
_cell_length_b 4.911
_cell_length_c 3.092
_cell_angle_alpha 90.00
_cell_angle_beta 90.00
_cell_angle_gamma 90.00
loop_
_atom_site_label
_atom_site_type_symbol
_atom_site_fract_x
_atom_site_fract_y
_atom_site_fract_z
_atom_site_occupancy
Sc1 Sc 0.000 0.000 0.000 1
P1 P 0.000 0.500 0.500 1
Br1 Br 0.500 0.500 0.000 1

---

# TeP, relaxed, DFT PBE
# - Formation energy without anion corrections: 0.8 eV/f.u.
data_TeP
_chemical_formula_sum 'Te16 P16'
_symmetry_space_group_name_H-M 'F d d d'
_symmetry_Int_Tables_number 70
_cell_length_a 6.705
_cell_length_b 12.514
_cell_length_c 17.220
_cell_angle_alpha 90.00
_cell_angle_beta 90.00
_cell_angle_gamma 90.00
loop_
_symmetry_equiv_pos_as_xyz
'x,y,z'
'-x,-y,-z'
'-x+1/4,-y+1/4,z'
'x+1/4,y+1/4,-z'
'x,-y+1/4,-z+1/4'
'-x,y+1/4,z+1/4'
'-x+1/4,y,-z+1/4'
'x+1/4,-y,z+1/4'
'x,y+1/2,z+1/2'
'-x,-y+1/2,-z+1/2'
'-x+1/4,-y+3/4,z+1/2'
'x+1/4,y+3/4,-z+1/2'
'x,-y+3/4,-z+3/4'
'-x,y+3/4,z+3/4'
'-x+1/4,y+1/2,-z+3/4'
'x+1/4,-y+1/2,z+3/4'
'x+1/2,y,z+1/2'
'-x+1/2,-y,-z+1/2'
'-x+3/4,-y+1/4,z+1/2'
'x+3/4,y+1/4,-z+1/2'
'x+1/2,-y+1/4,-z+3/4'
'-x+1/2,y+1/4,z+3/4'
'-x+3/4,y,-z+3/4'
'x+3/4,-y,z+3/4'
'x+1/2,y+1/2,z'
'-x+1/2,-y+1/2,-z'
'-x+3/4,-y+3/4,z'
'x+3/4,y+3/4,-z'
'x+1/2,-y+3/4,-z+1/4'
'-x+1/2,y+3/4,z+1/4'
'-x+3/4,y+1/2,-z+1/4'
'x+3/4,-y+1/2,z+1/4'
loop_
_atom_site_label
_atom_site_type_symbol
_atom_site_fract_x
_atom_site_fract_y
_atom_site_fract_z
_atom_site_occupancy
Te1 Te 0.125 0.265 0.125 1
P1 P 0.125 0.125 0.024 1

---

In eV/atom, the DFT total energy values for the records above are, in order, -2.9415 -2.7285 -4.0216 -7.6754 -3.1639 -5.1888 -3.8628 -4.8282 -4.1070 -6.3863 -5.2697 -6.1726 -4.4085 -2.8040 -3.5009 -5.4746 -3.8009 -5.0319 -4.6177 -3.8632.